[1]
VASP calculation (meta-GGA SCAN) on NbB2RuS at its PBEsol-relaxed geometry.

Computed properties:
Total magnetization   0.00 μB/cell
Energy relative to the elements, uncorrected   6.7 eV/f.u.

Unit cell a=3.767 b=3.767 c=4.604 alpha=90.00 beta=90.00 gamma=90.00
Space group P4/mmm (No. 123)
Inequivalent atoms, fractional coordinates:
Nb1 0.000 0.000 0.000 (multiplicity 1)
B1 0.000 0.500 0.500 (multiplicity 2)
Ru1 0.500 0.500 0.000 (multiplicity 1)
S1 0.000 0.000 0.500 (multiplicity 1)


[2]
VASP calculation (meta-GGA SCAN) on NbB2S2 at its PBEsol-relaxed geometry.

Computed properties:
Total magnetization   0.00 μB/cell
Energy relative to the elements, uncorrected   -0.3 eV/f.u.

Unit cell a=6.353 b=6.353 c=2.965 alpha=90.00 beta=90.00 gamma=90.00
Space group P4/mbm (No. 127)
Inequivalent atoms, fractional coordinates:
Nb1 0.000 0.000 0.000 (multiplicity 2)
B1 0.093 0.407 0.000 (multiplicity 4)
S1 0.219 0.281 0.500 (multiplicity 4)


[3]
VASP calculation (meta-GGA SCAN) on Nb2BSb at its PBEsol-relaxed geometry.

Computed properties:
Total magnetization   0.00 μB/cell
Energy relative to the elements, uncorrected   2.1 eV/f.u.

Unit cell a=5.468 b=5.468 c=11.269 alpha=90.00 beta=90.00 gamma=90.00
Space group I-42d (No. 122)
Inequivalent atoms, fractional coordinates:
Nb1 0.148 0.250 0.125 (multiplicity 8)
B1 0.000 0.000 0.000 (multiplicity 4)
Sb1 0.000 0.000 0.500 (multiplicity 4)


[4]
VASP calculation (meta-GGA SCAN) on ScNbZnB2 at its PBEsol-relaxed geometry.

Computed properties:
Total magnetization   0.00 μB/cell
Energy of formation   665 meV/atom

Unit cell a=4.201 b=4.201 c=4.690 alpha=90.00 beta=90.00 gamma=90.00
Space group P4/mmm (No. 123)
Inequivalent atoms, fractional coordinates:
Sc1 0.000 0.000 0.000 (multiplicity 1)
Nb1 0.500 0.500 0.500 (multiplicity 1)
Zn1 0.500 0.500 0.000 (multiplicity 1)
B1 0.000 0.500 0.500 (multiplicity 2)


Copy entry 2 word for word.
VASP calculation (meta-GGA SCAN) on NbB2S2 at its PBEsol-relaxed geometry.

Computed properties:
Total magnetization   0.00 μB/cell
Energy relative to the elements, uncorrected   -0.3 eV/f.u.

Unit cell a=6.353 b=6.353 c=2.965 alpha=90.00 beta=90.00 gamma=90.00
Space group P4/mbm (No. 127)
Inequivalent atoms, fractional coordinates:
Nb1 0.000 0.000 0.000 (multiplicity 2)
B1 0.093 0.407 0.000 (multiplicity 4)
S1 0.219 0.281 0.500 (multiplicity 4)